# 1
An optimized crystal structure of Mg5SeS4, computed with PBE-GGA.

abc: 3.742 3.742 26.395
angles: 90.00 90.00 90.00
Space group I4/mmm (No. 139)
Unique sites:
1 Mg 0.000 0.000 0.000 (multiplicity 2)
2 Mg 0.000 0.000 0.200 (multiplicity 4)
3 Mg 0.000 0.000 0.396 (multiplicity 4)
4 Se 0.000 0.000 0.500 (multiplicity 2)
5 S 0.000 0.000 0.102 (multiplicity 4)
6 S 0.000 0.000 0.299 (multiplicity 4)

Computed properties:
* DOS at the Fermi energy: 0.00 states/eV per cell
* formation energy (no corrections): -13.84 eV per formula unit

# 2
An optimized crystal structure of BaBAsRh3, computed with PBE-GGA.

abc: 5.924 12.519 5.918
angles: 90.00 90.00 90.00
Space group Cmcm (No. 63)
Unique sites:
1 Ba 0.000 0.248 0.250 (multiplicity 4)
2 B 0.000 0.468 0.750 (multiplicity 4)
3 As 0.000 0.109 0.750 (multiplicity 4)
4 Rh 0.000 0.305 0.750 (multiplicity 4)
5 Rh 0.244 0.500 0.000 (multiplicity 8)

Computed properties:
* formation enthalpy at 0 K: -0.4994 eV per atom
* DOS at the Fermi energy: 7.76 states/eV per cell

# 3
An optimized crystal structure of CaEr2ScAu4, computed with PBE-GGA.

abc: 4.9760 4.9760 24.8624
angles: 90.00 90.00 120.00
Space group R-3m (No. 166, hexagonal axes)
Unique sites:
1 Ca 0.0000 0.0000 0.0000 (multiplicity 3)
2 Er 0.0000 0.0000 0.2500 (multiplicity 6)
3 Sc 0.0000 0.0000 0.5000 (multiplicity 3)
4 Au 0.0000 0.0000 0.1315 (multiplicity 6)
5 Au 0.0000 0.0000 0.3826 (multiplicity 6)

Computed properties:
* formation enthalpy at 0 K: -0.8308 eV per atom
* DOS at the Fermi energy: 12.10 states/eV per cell

# 4
An optimized crystal structure of Zr2Be2Te, computed with PBE-GGA.

abc: 6.584 6.584 3.853
angles: 90.00 90.00 90.00
Space group P4/mbm (No. 127)
Unique sites:
1 Zr 0.176 0.324 0.000 (multiplicity 4)
2 Be 0.111 0.611 0.500 (multiplicity 4)
3 Te 0.000 0.000 0.500 (multiplicity 2)

Computed properties:
* DOS at the Fermi energy: 9.56 states/eV per cell
* formation energy (no corrections): -1.16 eV per formula unit

# 5
An optimized crystal structure of Sc2CdSb, computed with PBE-GGA.

abc: 4.547 4.547 8.675
angles: 90.00 90.00 90.00
Space group I4/mmm (No. 139)
Unique sites:
1 Sc 0.000 0.500 0.250 (multiplicity 4)
2 Cd 0.000 0.000 0.000 (multiplicity 2)
3 Sb 0.000 0.000 0.500 (multiplicity 2)

Computed properties:
* DOS at the Fermi energy: 4.94 states/eV per cell
* formation energy (no corrections): -1.94 eV per formula unit
* energy above the lowest structure with this stoichiometry: 32 meV/atom

# 6
An optimized crystal structure of KAlCu3, computed with PBE-GGA.

abc: 4.788 4.788 4.788
angles: 90.00 90.00 90.00
Space group Pm-3m (No. 221)
Unique sites:
1 K 0.000 0.000 0.000 (multiplicity 1)
2 Al 0.500 0.500 0.500 (multiplicity 1)
3 Cu 0.000 0.500 0.500 (multiplicity 3)

Computed properties:
* formation enthalpy at 0 K: 0.3880 eV per atom
* DOS at the Fermi energy: 1.87 states/eV per cell
* energy above the lowest structure with this stoichiometry: 0 meV/atom

# 7
An optimized crystal structure of Sr2AcH8, computed with PBE-GGA.

abc: 4.057 5.668 12.434
angles: 90.00 90.00 90.00
Space group Immm (No. 71)
Unique sites:
1 Sr 0.000 0.000 0.180 (multiplicity 4)
2 Ac 0.000 0.000 0.500 (multiplicity 2)
3 H 0.000 0.226 0.000 (multiplicity 4)
4 H 0.000 0.260 0.340 (multiplicity 8)
5 H 0.000 0.500 0.147 (multiplicity 4)

Computed properties:
* DOS at the Fermi energy: 5.73 states/eV per cell
* energy: -76.734 eV/cell

# 8
An optimized crystal structure of YSi2Bi, computed with PBE-GGA.

abc: 7.978 7.978 6.150
angles: 90.00 90.00 90.00
Space group I-42d (No. 122)
Unique sites:
1 Y 0.000 0.000 0.000 (multiplicity 4)
2 Si 0.247 0.250 0.625 (multiplicity 8)
3 Bi 0.000 0.000 0.500 (multiplicity 4)

Computed properties:
* DOS at the Fermi energy: 12.76 states/eV per cell
* formation energy (no corrections): 0.46 eV per formula unit
* energy above the lowest structure with this stoichiometry: 0 meV/atom

# 9
An optimized crystal structure of CdPdRh, computed with PBE-GGA.

abc: 2.8792 2.8792 6.8134
angles: 90.00 90.00 120.00
Space group P3m1 (No. 156)
Unique sites:
1 Cd 0.0000 0.0000 0.0000 (multiplicity 1)
2 Pd 0.6667 0.3333 0.3400 (multiplicity 1)
3 Rh 0.3333 0.6667 0.6626 (multiplicity 1)

Computed properties:
* formation enthalpy at 0 K: -0.0193 eV per atom
* DOS at the Fermi energy: 3.91 states/eV per cell
* energy above the lowest structure with this stoichiometry: 50 meV/atom

# 10
An optimized crystal structure of BaCu2As, computed with PBE-GGA.

abc: 3.581 3.581 6.800
angles: 90.00 90.00 90.00
Space group P4/mmm (No. 123)
Unique sites:
1 Ba 0.000 0.000 0.000 (multiplicity 1)
2 Cu 0.500 0.500 0.325 (multiplicity 2)
3 As 0.000 0.000 0.500 (multiplicity 1)

Computed properties:
* formation enthalpy at 0 K: 0.1564 eV per atom
* DOS at the Fermi energy: 2.35 states/eV per cell

# 11
An optimized crystal structure of Ba8Au3Br, computed with PBE-GGA.

abc: 16.240 9.615 9.444
angles: 90.00 124.14 90.00
Space group C2/m (No. 12)
Unique sites:
1 Ba 0.004 0.239 0.256 (multiplicity 8)
2 Ba 0.243 0.000 0.733 (multiplicity 4)
3 Ba 0.244 0.000 0.257 (multiplicity 4)
4 Au 0.000 0.000 0.000 (multiplicity 2)
5 Au 0.250 0.250 0.500 (multiplicity 4)
6 Br 0.000 0.500 0.000 (multiplicity 2)

Computed properties:
* DOS at the Fermi energy: 18.81 states/eV per cell
* formation energy (no corrections): -7.64 eV per formula unit

# 12
An optimized crystal structure of Cr2CdNi, computed with PBE-GGA.

abc: 2.6468 2.6468 26.9358
angles: 90.00 90.00 120.00
Space group R-3m (No. 166, hexagonal axes)
Unique sites:
1 Cr 0.0000 0.0000 0.2410 (multiplicity 6)
2 Cd 0.0000 0.0000 0.0000 (multiplicity 3)
3 Ni 0.0000 0.0000 0.5000 (multiplicity 3)

Computed properties:
* formation enthalpy at 0 K: 0.5339 eV per atom
* DOS at the Fermi energy: 19.04 states/eV per cell

Copy entry 9 word for word.
An optimized crystal structure of CdPdRh, computed with PBE-GGA.

abc: 2.8792 2.8792 6.8134
angles: 90.00 90.00 120.00
Space group P3m1 (No. 156)
Unique sites:
1 Cd 0.0000 0.0000 0.0000 (multiplicity 1)
2 Pd 0.6667 0.3333 0.3400 (multiplicity 1)
3 Rh 0.3333 0.6667 0.6626 (multiplicity 1)

Computed properties:
* formation enthalpy at 0 K: -0.0193 eV per atom
* DOS at the Fermi energy: 3.91 states/eV per cell
* energy above the lowest structure with this stoichiometry: 50 meV/atom

Q: Which formula does entry 3 have?
A: CaEr2ScAu4

Q: DOS at the Fermi energy of number 2 (BaBAsRh3)?
A: 7.76 states/eV per cell